1.
# LiSbSeI2

LiSbSeI2 at its PBEsol-relaxed geometry (SCAN, the Alexandria database).

Results
- energy above the lowest structure with this stoichiometry (kJ per mole of atoms) = 16.6
- E_form (uncorrected) (eV/atom) = 0.317

Unit cell a=4.977 b=4.977 c=5.397 alpha=90.00 beta=90.00 gamma=90.00
Sites, in units of the cell vectors:
Li 0.000 0.000 0.000
Sb 0.000 0.000 0.500
Se 0.500 0.500 0.500
I 0.000 0.500 0.000
I 0.500 0.000 0.000

---

2.
# NiOs2

NiOs2 at its PBEsol-relaxed geometry (SCAN, the Alexandria database).

Results
- ΔH_f (0 K) (eV per atom) = 0.080
- energy above the lowest structure with this stoichiometry (kJ per mole of atoms) = 0.0

Unit cell a=2.694 b=3.667 c=7.823 alpha=90.00 beta=90.00 gamma=90.00
Sites, in units of the cell vectors:
Ni 0.000 0.000 0.000
Ni 0.500 0.500 0.500
Os 0.000 0.000 0.332
Os 0.000 0.000 0.668
Os 0.500 0.500 0.168
Os 0.500 0.500 0.832

---

3.
# SiAg3Bi

SiAg3Bi at its PBEsol-relaxed geometry (SCAN, the Alexandria database).

Results
- E_form (uncorrected) (eV/atom) = 1.146

Unit cell a=5.218 b=5.218 c=5.218 alpha=90.00 beta=90.00 gamma=90.00
Sites, in units of the cell vectors:
Si 0.000 0.000 0.000
Ag 0.000 0.500 0.500
Ag 0.500 0.000 0.500
Ag 0.500 0.500 0.000
Bi 0.500 0.500 0.500

---

4.
# InFeSiRh2

InFeSiRh2 at its PBEsol-relaxed geometry (SCAN, the Alexandria database).

Results
- E_form (uncorrected) (eV/atom) = 0.527

Unit cell a=4.312 b=4.312 c=4.845 alpha=90.00 beta=90.00 gamma=90.00
Sites, in units of the cell vectors:
In 0.000 0.000 0.000
Fe 0.500 0.500 0.000
Si 0.000 0.000 0.500
Rh 0.000 0.500 0.500
Rh 0.500 0.000 0.500

---

5.
# CrAsRh2

CrAsRh2 at its PBEsol-relaxed geometry (SCAN, the Alexandria database).

Results
- ΔH_f (0 K) (eV per atom) = -0.269

Unit cell a=5.497 b=6.849 c=2.909 alpha=90.00 beta=90.00 gamma=90.00
Sites, in units of the cell vectors:
Cr 0.000 0.000 0.000
Cr 0.500 0.500 0.000
As 0.000 0.500 0.000
As 0.500 0.000 0.000
Rh 0.250 0.250 0.500
Rh 0.250 0.750 0.500
Rh 0.750 0.250 0.500
Rh 0.750 0.750 0.500

---

6.
# LiCaSe2

LiCaSe2 at its PBEsol-relaxed geometry (SCAN, the Alexandria database).

Results
- E_form (uncorrected) (eV/atom) = -1.311

Unit cell a=4.762 b=4.762 c=3.678 alpha=90.00 beta=90.00 gamma=90.00
Sites, in units of the cell vectors:
Li 0.000 0.000 0.000
Ca 0.500 0.500 0.000
Se 0.000 0.500 0.500
Se 0.500 0.000 0.500

---

no.,total magnetization (μB per formula unit),total energy (hartree per atom)
1,0.80,-0.967
2,0.00,-1.956
3,0.00,-1.301
4,3.32,-0.929
5,3.29,-0.985
6,0.00,-0.528